Entry 1:
{
  "formula": "CoHg2Ir",
  "functional": "PBE",
  "state": "relaxed",
  "cell": [[-4.4112, -1.7199, -8.7863], [-5.7574, -3.7532, -7.2375], [-6.7693, -1.0475, -7.2591]],
  "species": ["Co", "Hg", "Hg", "Ir"],
  "fractional_positions": [[0.7578, 0.7578, 0.7578], [0.0128, 0.0128, 0.0128], [0.2410, 0.2410, 0.2410], [0.4885, 0.4885, 0.4885]],
  "m_tot_mub_per_cell": 2.50,
  "formation_enthalpy_0k_mev_per_atom": 401.7,
  "de_polymorph_ev_per_atom": 0.075
}

Entry 2:
{
  "formula": "CoHg2Ir",
  "functional": "PBE",
  "state": "relaxed",
  "cell": [[-2.2218, 3.2002, 0.1425], [-2.3651, -1.7722, 2.9253], [2.4662, 1.5807, 2.9515]],
  "species": ["Co", "Hg", "Hg", "Ir"],
  "fractional_positions": [[0.5000, 0.0000, 0.5000], [0.0000, 0.0000, 0.0000], [0.0000, 0.5000, 0.5000], [0.5000, 0.5000, 0.0000]],
  "m_tot_mub_per_cell": 1.76,
  "formation_enthalpy_0k_mev_per_atom": 562.3,
  "de_polymorph_ev_per_atom": 0.235
}

What did we get for total DFT energy (no corrections)? Answer: -3.741 -3.580 eV/atom, in the order shown.